No. 1
SCAN CuSiAg2, single point on PBEsol structure; formation energy without anion corrections = 0.71 eV per formula unit; E = -87.2 eV per formula unit
1.0
9.562 0.000 0.000
0.000 2.951 0.000
-1.765 0.000 4.145
Cu Si Ag
2 2 4
direct
0.000 0.000 0.000
0.500 0.500 0.000
0.293 0.000 0.728
0.793 0.500 0.728
0.043 0.500 0.536
0.261 0.500 0.204
0.543 0.000 0.536
0.761 0.000 0.204


No. 2
SCAN Ga2SnPb, single point on PBEsol structure; E = -143.6 eV per formula unit; energy of formation = 0.2004 eV per atom
1.0
7.173 0.000 0.000
0.000 7.173 0.000
0.000 0.000 7.173
Ga Sn Pb
8 4 4
direct
0.250 0.250 0.250
0.250 0.250 0.750
0.250 0.750 0.250
0.250 0.750 0.750
0.750 0.250 0.250
0.750 0.250 0.750
0.750 0.750 0.250
0.750 0.750 0.750
0.000 0.000 0.000
0.000 0.500 0.500
0.500 0.000 0.500
0.500 0.500 0.000
0.000 0.000 0.500
0.000 0.500 0.000
0.500 0.000 0.000
0.500 0.500 0.500


No. 3
SCAN Mg3Au, single point on PBEsol structure; energy above the most stable polymorph in this dataset = 118.6 meV/atom; E = -86.0 eV per formula unit; energy of formation = -0.4769 eV per atom
1.0
4.376 0.000 0.000
0.000 4.376 0.000
0.000 0.000 7.771
Mg Au
6 2
direct
0.000 0.000 0.000
0.000 0.500 0.250
0.000 0.500 0.750
0.500 0.000 0.250
0.500 0.000 0.750
0.500 0.500 0.500
0.000 0.000 0.500
0.500 0.500 0.000


No. 4
SCAN SrAs2OsBr, single point on PBEsol structure; formation energy without anion corrections = -1.27 eV per formula unit; E = -155.3 eV per formula unit
1.0
4.722 0.000 0.000
0.000 4.722 0.000
0.000 0.000 5.511
Sr As Os Br
1 2 1 1
direct
0.000 0.000 0.000
0.000 0.500 0.500
0.500 0.000 0.500
0.500 0.500 0.500
0.500 0.500 0.000